Record 1
## TaCu2Tc (PBE-GGA)

Data for a geometry-optimized TaCu2Tc structure.

Summary:
VASP energy   -7.4544 eV/atom
N(E_F)   3.4 states/eV/cell
Formation energy   0.15 eV per atom
ΔE to the lowest computed polymorph   143.1 meV/atom

abc: 2.723 2.723 7.678
angles: 90.00 90.00 90.00
Space group P4mm (No. 99)
Symmetry-distinct sites (fractional):
1 Ta 0.000 0.000 0.000 (multiplicity 1)
2 Cu 0.000 0.000 0.529 (multiplicity 1)
3 Cu 0.500 0.500 0.745 (multiplicity 1)
4 Tc 0.500 0.500 0.292 (multiplicity 1)

***

Record 2
## TaCuTc2 (PBE-GGA)

Data for a geometry-optimized TaCuTc2 structure.

Summary:
VASP energy   -9.1387 eV/atom
N(E_F)   4.8 states/eV/cell
Formation energy   0.03 eV per atom
ΔE to the lowest computed polymorph   53.9 meV/atom

abc: 3.225 3.225 5.725
angles: 90.00 90.00 90.00
Space group P4/mmm (No. 123)
Symmetry-distinct sites (fractional):
1 Ta 0.000 0.000 0.000 (multiplicity 1)
2 Cu 0.000 0.000 0.500 (multiplicity 1)
3 Tc 0.500 0.500 0.272 (multiplicity 2)

***

Record 3
## TaCuTc2 (PBE-GGA)

Data for a geometry-optimized TaCuTc2 structure.

Summary:
VASP energy   -9.1926 eV/atom
N(E_F)   3.1 states/eV/cell
Formation energy   -0.02 eV per atom
ΔE to the lowest computed polymorph   0.0 meV/atom

abc: 3.895 3.895 3.884
angles: 90.00 90.00 90.00
Space group P4/mmm (No. 123)
Symmetry-distinct sites (fractional):
1 Ta 0.000 0.000 0.000 (multiplicity 1)
2 Cu 0.500 0.500 0.000 (multiplicity 1)
3 Tc 0.000 0.500 0.500 (multiplicity 2)

***

Record 4
## Ta2CuTc (PBE-GGA)

Data for a geometry-optimized Ta2CuTc structure.

Summary:
VASP energy   -9.6703 eV/atom
N(E_F)   1.7 states/eV/cell
Formation energy   -0.13 eV per atom

abc: 3.199 3.199 6.168
angles: 90.00 90.00 90.00
Space group P4/mmm (No. 123)
Symmetry-distinct sites (fractional):
1 Ta 0.000 0.000 0.248 (multiplicity 2)
2 Cu 0.500 0.500 0.000 (multiplicity 1)
3 Tc 0.500 0.500 0.500 (multiplicity 1)

***

Record 5
## Ta2CuTc (PBE-GGA)

Data for a geometry-optimized Ta2CuTc structure.

Summary:
VASP energy   -9.5195 eV/atom
N(E_F)   7.5 states/eV/cell
Formation energy   0.02 eV per atom

abc: 3.226 4.412 9.020
angles: 90.00 90.00 90.00
Space group Imm2 (No. 44)
Symmetry-distinct sites (fractional):
1 Ta 0.000 0.000 0.000 (multiplicity 2)
2 Ta 0.000 0.500 0.240 (multiplicity 2)
3 Cu 0.000 0.500 0.757 (multiplicity 2)
4 Tc 0.000 0.000 0.507 (multiplicity 2)

***

Record 6
## Ta2CuTc (PBE-GGA)

Data for a geometry-optimized Ta2CuTc structure.

Summary:
VASP energy   -9.3770 eV/atom
N(E_F)   3.1 states/eV/cell
Formation energy   0.16 eV per atom

abc: 2.736 2.736 8.513
angles: 90.00 90.00 90.00
Space group P4mm (No. 99)
Symmetry-distinct sites (fractional):
1 Ta 0.000 0.000 0.000 (multiplicity 1)
2 Ta 0.500 0.500 0.276 (multiplicity 1)
3 Cu 0.500 0.500 0.760 (multiplicity 1)
4 Tc 0.000 0.000 0.540 (multiplicity 1)

***

Q: What is the formula in the second record?
A: TaCuTc2

***

Q: Among the records above, which one has the highest N(E_F)?
A: number 5